This record from Alexandria via LeMat-Bulk describes crystalline Pr4Ni3Pt at its relaxed geometry. The functional is GGA-PBE.

POSCAR file:
```
Pr4Ni3Pt
1.0
3.9153 0.0000 0.0000
0.0000 4.4292 0.0000
0.0000 0.0000 10.7045
Pr Ni Pt
4 3 1
Direct
0.0000 0.0000 0.0000
0.0000 0.5000 0.2700
0.5000 0.0000 0.4902
0.5000 0.5000 0.7724
0.0000 0.5000 0.5517
0.5000 0.0000 0.2034
0.5000 0.5000 0.0642
0.0000 0.0000 0.7106
```

As for the uncorrected energy: -5.81 eV per atom. Its calculated density is 8.4 Mg/m³. The calculation puts the spin magnetization at 0.00 μB/f.u. The calculation puts the density of states at the Fermi level at 0.615 states/eV per atom.

***

This record from Alexandria via LeMat-Bulk describes crystalline PrNi2Pt5 at its relaxed geometry. The functional is GGA-PBE.

POSCAR file:
```
PrNi2Pt5
1.0
-1.9321 3.7362 4.7035
1.9321 -3.7362 4.7035
1.9321 3.7362 -4.7035
Pr Ni Pt
1 2 5
Direct
0.0000 0.0000 0.0000
0.2343 0.7343 0.5000
0.7657 0.2657 0.5000
0.1616 0.3482 0.8134
0.4652 0.6518 0.8134
0.5000 0.0000 0.5000
0.5349 0.3482 0.1866
0.8384 0.6518 0.1866
```

As for the uncorrected energy: -6.16 eV per atom. Its calculated density is 15.1 Mg/m³. The calculation puts the spin magnetization at 1.55 μB/f.u. The calculation puts the density of states at the Fermi level at 1.395 states/eV per atom.

***

This record from Alexandria via LeMat-Bulk describes crystalline Pr8Ni2Pt at its relaxed geometry. The functional is GGA-PBE.

POSCAR file:
```
Pr8Ni2Pt
1.0
9.2740 -2.6233 0.0000
9.2740 2.6233 0.0000
-2.0371 0.0000 6.4602
Pr Ni Pt
8 2 1
Direct
0.0342 0.0342 0.2955
0.1990 0.1990 0.8543
0.3225 0.3225 0.4954
0.4087 0.4087 0.0379
0.5913 0.5913 0.9621
0.6775 0.6775 0.5046
0.8010 0.8010 0.1457
0.9658 0.9658 0.7045
0.1732 0.1732 0.2448
0.8268 0.8268 0.7552
0.5000 0.5000 0.5000
```

As for the uncorrected energy: -5.35 eV per atom. Its calculated density is 7.6 Mg/m³. The calculation puts the spin magnetization at 0.00 μB/f.u. The calculation puts the density of states at the Fermi level at 0.981 states/eV per atom.